(1)
Computed, not measured: a relaxed IrOs2 crystal at the PBE level of DFT.

Properties
Space-group type: P6_3/mmc (194)
Spin magnetization in Bohr magnetons per cell: 0.00
Fermi-level density of states in states/eV/cell: 10.1
Relative energy among the computed polymorphs in eV/f.u.: 2.02

a b c (Å): 5.068 5.068 8.403
angles (deg): 90.00 90.00 60.00
Atoms (fractional coordinates):
Ir 0.667 0.667 0.093
Ir 0.667 0.667 0.407
Ir 0.333 0.333 0.593
Ir 0.333 0.333 0.907
Os 0.000 0.000 0.000
Os 0.000 0.000 0.500
Os 0.828 0.343 0.750
Os 0.343 0.828 0.750
Os 0.172 0.172 0.250
Os 0.828 0.828 0.750
Os 0.657 0.172 0.250
Os 0.172 0.657 0.250

***

(2)
Computed, not measured: a relaxed IrOs crystal at the PBE level of DFT.

Properties
Space-group type: P2_1/m (11)
VASP energy in eV/atom: -9.863
Spin magnetization in Bohr magnetons per cell: 0.00
Fermi-level density of states in states/eV/cell: 3.2

a b c (Å): 2.716 4.216 5.281
angles (deg): 90.00 75.24 90.00
Atoms (fractional coordinates):
Ir 0.198 0.000 0.978
Ir 0.052 0.500 0.272
Os 0.797 0.500 0.779
Os 0.453 0.000 0.471

***

Question: Which formula does entry 1 have?
Answer: IrOs2

***

Question: Which value of Fermi-level density of states does entry 1 give?
Answer: 10.1 states/eV/cell

***

Question: Look up the spin magnetization of the second one.
Answer: 0.00 Bohr magnetons per cell